No. 1
DFT (GGA-PBE) results for a relaxed structure of SrTa3S.

Properties
- raw total energy (eV per cell) = -25.7
- ΔE to the lowest computed polymorph (eV/f.u.) = 13.235
- ΔE_f (raw) (eV/atom) = 3.14

The structure in CIF format:
```
data_SrTa3S
_chemical_formula_sum 'Sr1 Ta3 S1'
_cell_length_a 4.937
_cell_length_b 4.937
_cell_length_c 4.937
_cell_angle_alpha 90.00
_cell_angle_beta 90.00
_cell_angle_gamma 90.00
_symmetry_space_group_name_H-M 'P m -3 m'
_symmetry_Int_Tables_number 221
_symmetry_space_group_name_Hall '-P 4 2 3'
loop_
_atom_site_label
_atom_site_fract_x
_atom_site_fract_y
_atom_site_fract_z
Sr1 0.000 0.000 0.000
Ta1 0.000 0.000 0.500
S1 0.500 0.500 0.500
```

---

No. 2
DFT (GGA-PBE) results for a relaxed structure of Sr17Ta10S42.

Properties
- raw total energy (eV per cell) = -428.0
- ΔE to the lowest computed polymorph (eV/f.u.) = 0.000
- ΔE_f (raw) (eV/atom) = -1.56

The structure in CIF format:
```
data_Sr17Ta10S42
_chemical_formula_sum 'Sr17 Ta10 S42'
_cell_length_a 12.335
_cell_length_b 12.368
_cell_length_c 12.376
_cell_angle_alpha 96.16
_cell_angle_beta 96.42
_cell_angle_gamma 96.24
_symmetry_space_group_name_H-M 'P 1'
_symmetry_Int_Tables_number 1
loop_
_symmetry_equiv_pos_as_xyz
'x,y,z'
loop_
_atom_site_label
_atom_site_fract_x
_atom_site_fract_y
_atom_site_fract_z
Sr1 0.000 0.000 0.000
Sr2 0.001 0.873 0.628
Sr3 0.050 0.555 0.447
Sr4 0.215 0.986 0.349
Sr5 0.220 0.636 0.128
Sr6 0.240 0.503 0.759
Sr7 0.332 0.343 0.332
Sr8 0.348 0.221 0.979
Sr9 0.363 0.865 0.766
Sr10 0.537 0.310 0.665
Sr11 0.571 0.965 0.470
Sr12 0.584 0.844 0.112
Sr13 0.677 0.540 0.297
Sr14 0.682 0.685 0.686
Sr15 0.710 0.207 0.095
Sr16 0.902 0.173 0.438
Sr17 0.919 0.320 0.816
Ta1 0.013 0.310 0.117
Ta2 0.176 0.150 0.616
Ta3 0.301 0.937 0.065
Ta4 0.353 0.649 0.438
Ta5 0.490 0.124 0.252
Ta6 0.514 0.488 0.942
Ta7 0.674 0.988 0.776
Ta8 0.801 0.436 0.563
Ta9 0.852 0.814 0.278
Ta10 0.981 0.624 0.761
S1 0.007 0.125 0.674
S2 0.009 0.432 0.636
S3 0.072 0.555 0.908
S4 0.094 0.242 0.971
S5 0.133 0.436 0.236
S6 0.141 0.861 0.127
S7 0.144 0.700 0.683
S8 0.153 0.210 0.448
S9 0.207 0.731 0.373
S10 0.223 0.996 0.904
S11 0.233 0.980 0.594
S12 0.282 0.127 0.179
S13 0.288 0.501 0.518
S14 0.302 0.270 0.734
S15 0.341 0.466 0.995
S16 0.357 0.774 0.987
S17 0.416 0.919 0.255
S18 0.427 0.581 0.288
S19 0.445 0.161 0.434
S20 0.471 0.768 0.565
S21 0.491 0.050 0.048
S22 0.491 0.546 0.771
S23 0.525 0.063 0.705
S24 0.527 0.306 0.209
S25 0.572 0.318 0.917
S26 0.606 0.844 0.858
S27 0.620 0.477 0.519
S28 0.631 0.604 0.065
S29 0.672 0.086 0.294
S30 0.681 0.788 0.337
S31 0.756 0.920 0.630
S32 0.757 0.256 0.606
S33 0.800 0.106 0.895
S34 0.802 0.510 0.767
S35 0.828 0.876 0.112
S36 0.842 0.393 0.382
S37 0.869 0.391 0.052
S38 0.873 0.643 0.564
S39 0.911 0.647 0.260
S40 0.930 0.788 0.833
S41 0.943 0.160 0.194
S42 0.971 0.940 0.399
```

---

No. 3
DFT (GGA-PBE) results for a relaxed structure of Sr3TaS6.

Properties
- raw total energy (eV per cell) = -112.9
- ΔE_f (raw) (eV/atom) = -1.48

The structure in CIF format:
```
data_Sr3TaS6
_chemical_formula_sum 'Sr6 Ta2 S12'
_cell_length_a 7.015
_cell_length_b 7.499
_cell_length_c 12.091
_cell_angle_alpha 90.00
_cell_angle_beta 124.97
_cell_angle_gamma 90.00
_symmetry_space_group_name_H-M 'P 1 21/c 1'
_symmetry_Int_Tables_number 14
loop_
_symmetry_equiv_pos_as_xyz
'x,y,z'
'-x,-y,-z'
'-x,y+1/2,-z+1/2'
'x,-y+1/2,z+1/2'
loop_
_atom_site_label
_atom_site_fract_x
_atom_site_fract_y
_atom_site_fract_z
Sr1 0.000 0.000 0.000
Sr2 0.280 0.084 0.748
Ta1 0.500 0.000 0.500
S1 0.143 0.049 0.276
S2 0.279 0.679 0.061
S3 0.410 0.223 0.075
```

---

No. 4
DFT (GGA-PBE) results for a relaxed structure of SrTa2Tl2S7.

Properties
- raw total energy (eV per cell) = -210.8
- ΔE_f (raw) (eV/atom) = -0.94

The structure in CIF format:
```
data_SrTa2Tl2S7
_chemical_formula_sum 'Sr3 Ta6 Tl6 S21'
_cell_length_a 6.8628
_cell_length_b 6.8628
_cell_length_c 29.7819
_cell_angle_alpha 90.00
_cell_angle_beta 90.00
_cell_angle_gamma 120.00
_symmetry_space_group_name_H-M 'R 3 2'
_symmetry_Int_Tables_number 155
_symmetry_space_group_name_Hall 'R 3 2"'
loop_
_atom_site_label
_atom_site_fract_x
_atom_site_fract_y
_atom_site_fract_z
Sr1 0.0000 0.0000 0.0000
Ta1 0.0000 0.0000 0.4211
Tl1 0.0000 0.0000 0.2063
S1 0.0000 0.0000 0.5000
S2 0.0013 0.3129 0.3970
```

---

No. 5
DFT (GGA-PBE) results for a relaxed structure of SrTa2VS8.

Properties
- raw total energy (eV per cell) = -233.4
- ΔE_f (raw) (eV/atom) = -0.86

The structure in CIF format:
```
data_SrTa2VS8
_chemical_formula_sum 'Sr3 Ta6 V3 S24'
_cell_length_a 6.1982
_cell_length_b 6.1982
_cell_length_c 25.1623
_cell_angle_alpha 90.00
_cell_angle_beta 90.00
_cell_angle_gamma 120.00
_symmetry_space_group_name_H-M 'R -3'
_symmetry_Int_Tables_number 148
_symmetry_space_group_name_Hall '-R 3'
loop_
_atom_site_label
_atom_site_fract_x
_atom_site_fract_y
_atom_site_fract_z
Sr1 0.0000 0.0000 0.0000
Ta1 0.0000 0.0000 0.2413
V1 0.0000 0.0000 0.5000
S1 0.0000 0.0000 0.3297
S2 0.0047 0.3689 0.2229
```

---

No. 6
DFT (GGA-PBE) results for a relaxed structure of SrYTaS2.

Properties
- raw total energy (eV per cell) = -21.9
- ΔE_f (raw) (eV/atom) = 1.27

The structure in CIF format:
```
data_SrYTaS2
_chemical_formula_sum 'Sr1 Y1 Ta1 S2'
_cell_length_a 5.273
_cell_length_b 5.273
_cell_length_c 5.915
_cell_angle_alpha 90.00
_cell_angle_beta 90.00
_cell_angle_gamma 90.00
_symmetry_space_group_name_H-M 'P 4/m m m'
_symmetry_Int_Tables_number 123
_symmetry_space_group_name_Hall '-P 4 2'
loop_
_atom_site_label
_atom_site_fract_x
_atom_site_fract_y
_atom_site_fract_z
Sr1 0.000 0.000 0.000
Y1 0.000 0.000 0.500
Ta1 0.500 0.500 0.500
S1 0.000 0.500 0.000
```

---

No. 7
DFT (GGA-PBE) results for a relaxed structure of SrYTa2S.

Properties
- raw total energy (eV per cell) = -26.7
- ΔE_f (raw) (eV/atom) = 1.86

The structure in CIF format:
```
data_SrYTa2S
_chemical_formula_sum 'Sr1 Y1 Ta2 S1'
_cell_length_a 4.919
_cell_length_b 4.919
_cell_length_c 6.688
_cell_angle_alpha 90.00
_cell_angle_beta 90.00
_cell_angle_gamma 90.00
_symmetry_space_group_name_H-M 'P 4/m m m'
_symmetry_Int_Tables_number 123
_symmetry_space_group_name_Hall '-P 4 2'
loop_
_atom_site_label
_atom_site_fract_x
_atom_site_fract_y
_atom_site_fract_z
Sr1 0.000 0.000 0.000
Y1 0.000 0.000 0.500
Ta1 0.000 0.500 0.500
S1 0.500 0.500 0.000
```

---

No. 8
DFT (GGA-PBE) results for a relaxed structure of Sr2TaZnS.

Properties
- raw total energy (eV per cell) = -19.1
- ΔE_f (raw) (eV/atom) = 0.30

The structure in CIF format:
```
data_Sr2TaZnS
_chemical_formula_sum 'Sr2 Ta1 Zn1 S1'
_cell_length_a 6.183
_cell_length_b 6.183
_cell_length_c 4.648
_cell_angle_alpha 90.00
_cell_angle_beta 90.00
_cell_angle_gamma 90.00
_symmetry_space_group_name_H-M 'P 4/m m m'
_symmetry_Int_Tables_number 123
_symmetry_space_group_name_Hall '-P 4 2'
loop_
_atom_site_label
_atom_site_fract_x
_atom_site_fract_y
_atom_site_fract_z
Sr1 0.000 0.500 0.000
Ta1 0.000 0.000 0.000
Zn1 0.500 0.500 0.500
S1 0.000 0.000 0.500
```

---

No. 9
DFT (GGA-PBE) results for a relaxed structure of SrTb2S4.

Properties
- raw total energy (eV per cell) = -169.4
- ΔE to the lowest computed polymorph (eV/f.u.) = 0.000
- ΔE_f (raw) (eV/atom) = -2.13

The structure in CIF format:
```
data_SrTb2S4
_chemical_formula_sum 'Sr4 Tb8 S16'
_cell_length_a 12.069
_cell_length_b 4.019
_cell_length_c 14.439
_cell_angle_alpha 90.00
_cell_angle_beta 90.00
_cell_angle_gamma 90.00
_symmetry_space_group_name_H-M 'P n m a'
_symmetry_Int_Tables_number 62
loop_
_symmetry_equiv_pos_as_xyz
'x,y,z'
'-x,-y,-z'
'-x+1/2,-y,z+1/2'
'x+1/2,y,-z+1/2'
'x+1/2,-y+1/2,-z+1/2'
'-x+1/2,y+1/2,z+1/2'
'-x,y+1/2,-z'
'x,-y+1/2,z'
loop_
_atom_site_label
_atom_site_fract_x
_atom_site_fract_y
_atom_site_fract_z
Sr1 0.243 0.250 0.162
Tb1 0.069 0.250 0.390
Tb2 0.081 0.250 0.899
S1 0.022 0.750 0.784
S2 0.085 0.250 0.579
S3 0.131 0.750 0.027
S4 0.208 0.750 0.324
```

---

No. 10
DFT (GGA-PBE) results for a relaxed structure of Sr3TbS4.

Properties
- raw total energy (eV per cell) = -85.6
- ΔE_f (raw) (eV/atom) = -2.08

The structure in CIF format:
```
data_Sr3TbS4
_chemical_formula_sum 'Sr6 Tb2 S8'
_cell_length_a 8.388
_cell_length_b 11.811
_cell_length_c 4.158
_cell_angle_alpha 90.00
_cell_angle_beta 90.00
_cell_angle_gamma 90.00
_symmetry_space_group_name_H-M 'C m m m'
_symmetry_Int_Tables_number 65
_symmetry_space_group_name_Hall '-C 2 2'
loop_
_atom_site_label
_atom_site_fract_x
_atom_site_fract_y
_atom_site_fract_z
Sr1 0.000 0.000 0.000
Sr2 0.250 0.250 0.500
Tb1 0.000 0.500 0.000
S1 0.000 0.260 0.000
S2 0.234 0.500 0.500
```

---

No. 11
DFT (GGA-PBE) results for a relaxed structure of Sr2TbS3.

Properties
- raw total energy (eV per cell) = -524.3
- ΔE_f (raw) (eV/atom) = -2.07

The structure in CIF format:
```
data_Sr2TbS3
_chemical_formula_sum 'Sr32 Tb16 S48'
_cell_length_a 8.309
_cell_length_b 11.720
_cell_length_c 24.781
_cell_angle_alpha 90.00
_cell_angle_beta 90.00
_cell_angle_gamma 90.00
_symmetry_space_group_name_H-M 'F d d d'
_symmetry_Int_Tables_number 70
loop_
_symmetry_equiv_pos_as_xyz
'x,y,z'
'-x,-y,-z'
'-x+1/4,-y+1/4,z'
'x+1/4,y+1/4,-z'
'x,-y+1/4,-z+1/4'
'-x,y+1/4,z+1/4'
'-x+1/4,y,-z+1/4'
'x+1/4,-y,z+1/4'
'x,y+1/2,z+1/2'
'-x,-y+1/2,-z+1/2'
'-x+1/4,-y+3/4,z+1/2'
'x+1/4,y+3/4,-z+1/2'
'x,-y+3/4,-z+3/4'
'-x,y+3/4,z+3/4'
'-x+1/4,y+1/2,-z+3/4'
'x+1/4,-y+1/2,z+3/4'
'x+1/2,y,z+1/2'
'-x+1/2,-y,-z+1/2'
'-x+3/4,-y+1/4,z+1/2'
'x+3/4,y+1/4,-z+1/2'
'x+1/2,-y+1/4,-z+3/4'
'-x+1/2,y+1/4,z+3/4'
'-x+3/4,y,-z+3/4'
'x+3/4,-y,z+3/4'
'x+1/2,y+1/2,z'
'-x+1/2,-y+1/2,-z'
'-x+3/4,-y+3/4,z'
'x+3/4,y+3/4,-z'
'x+1/2,-y+3/4,-z+1/4'
'-x+1/2,y+3/4,z+1/4'
'-x+3/4,y+1/2,-z+1/4'
'x+3/4,-y+1/2,z+1/4'
loop_
_atom_site_label
_atom_site_fract_x
_atom_site_fract_y
_atom_site_fract_z
Sr1 0.125 0.125 0.043
Sr2 0.125 0.125 0.373
Tb1 0.125 0.125 0.542
S1 0.108 0.375 0.875
S2 0.116 0.367 0.711
```

---

No. 12
DFT (GGA-PBE) results for a relaxed structure of Sr4TbS5.

Properties
- raw total energy (eV per cell) = -105.6
- ΔE_f (raw) (eV/atom) = -2.08

The structure in CIF format:
```
data_Sr4TbS5
_chemical_formula_sum 'Sr8 Tb2 S10'
_cell_length_a 9.385
_cell_length_b 9.385
_cell_length_c 5.935
_cell_angle_alpha 90.00
_cell_angle_beta 90.00
_cell_angle_gamma 90.00
_symmetry_space_group_name_H-M 'I 4/m'
_symmetry_Int_Tables_number 87
_symmetry_space_group_name_Hall '-I 4'
loop_
_atom_site_label
_atom_site_fract_x
_atom_site_fract_y
_atom_site_fract_z
Sr1 0.097 0.300 0.000
Tb1 0.000 0.000 0.500
S1 0.000 0.000 0.000
S2 0.095 0.286 0.500
```

---

No. 13
DFT (GGA-PBE) results for a relaxed structure of Sr5TbS6.

Properties
- raw total energy (eV per cell) = -126.0
- ΔE_f (raw) (eV/atom) = -2.10

The structure in CIF format:
```
data_Sr5TbS6
_chemical_formula_sum 'Sr10 Tb2 S12'
_cell_length_a 7.295
_cell_length_b 12.628
_cell_length_c 7.294
_cell_angle_alpha 90.00
_cell_angle_beta 109.51
_cell_angle_gamma 90.00
_symmetry_space_group_name_H-M 'C 1 2/m 1'
_symmetry_Int_Tables_number 12
loop_
_symmetry_equiv_pos_as_xyz
'x,y,z'
'-x,-y,-z'
'-x,y,-z'
'x,-y,z'
'x+1/2,y+1/2,z'
'-x+1/2,-y+1/2,-z'
'-x+1/2,y+1/2,-z'
'x+1/2,-y+1/2,z'
loop_
_atom_site_label
_atom_site_fract_x
_atom_site_fract_y
_atom_site_fract_z
Sr1 0.000 0.000 0.000
Sr2 0.000 0.166 0.500
Sr3 0.000 0.331 0.000
Tb1 0.000 0.500 0.500
S1 0.237 0.500 0.259
S2 0.239 0.341 0.740
```

---

No. 14
DFT (GGA-PBE) results for a relaxed structure of SrTb3S4.

Properties
- raw total energy (eV per cell) = -96.2
- ΔE_f (raw) (eV/atom) = -2.01

The structure in CIF format:
```
data_SrTb3S4
_chemical_formula_sum 'Sr2 Tb6 S8'
_cell_length_a 8.050
_cell_length_b 11.302
_cell_length_c 3.977
_cell_angle_alpha 90.00
_cell_angle_beta 90.00
_cell_angle_gamma 90.00
_symmetry_space_group_name_H-M 'C m m m'
_symmetry_Int_Tables_number 65
_symmetry_space_group_name_Hall '-C 2 2'
loop_
_atom_site_label
_atom_site_fract_x
_atom_site_fract_y
_atom_site_fract_z
Sr1 0.000 0.000 0.000
Tb1 0.000 0.500 0.000
Tb2 0.250 0.250 0.500
S1 0.000 0.255 0.000
S2 0.239 0.500 0.500
```

---

No. 15
DFT (GGA-PBE) results for a relaxed structure of SrTb2S4.

Properties
- raw total energy (eV per cell) = -169.1
- ΔE to the lowest computed polymorph (eV/f.u.) = 0.083
- ΔE_f (raw) (eV/atom) = -2.12

The structure in CIF format:
```
data_SrTb2S4
_chemical_formula_sum 'Sr4 Tb8 S16'
_cell_length_a 3.990
_cell_length_b 13.128
_cell_length_c 13.499
_cell_angle_alpha 90.00
_cell_angle_beta 90.00
_cell_angle_gamma 90.00
_symmetry_space_group_name_H-M 'C m c m'
_symmetry_Int_Tables_number 63
_symmetry_space_group_name_Hall '-C 2c 2'
loop_
_atom_site_label
_atom_site_fract_x
_atom_site_fract_y
_atom_site_fract_z
Sr1 0.000 0.112 0.250
Tb1 0.000 0.366 0.070
S1 0.000 0.000 0.000
S2 0.000 0.269 0.615
S3 0.000 0.450 0.250
```

---

No. 16
DFT (GGA-PBE) results for a relaxed structure of SrTb5S6.

Properties
- raw total energy (eV per cell) = -147.3
- ΔE_f (raw) (eV/atom) = -2.00

The structure in CIF format:
```
data_SrTb5S6
_chemical_formula_sum 'Sr2 Tb10 S12'
_cell_length_a 6.869
_cell_length_b 11.917
_cell_length_c 6.898
_cell_angle_alpha 90.00
_cell_angle_beta 109.42
_cell_angle_gamma 90.00
_symmetry_space_group_name_H-M 'C 1 2/m 1'
_symmetry_Int_Tables_number 12
loop_
_symmetry_equiv_pos_as_xyz
'x,y,z'
'-x,-y,-z'
'-x,y,-z'
'x,-y,z'
'x+1/2,y+1/2,z'
'-x+1/2,-y+1/2,-z'
'-x+1/2,y+1/2,-z'
'x+1/2,-y+1/2,z'
loop_
_atom_site_label
_atom_site_fract_x
_atom_site_fract_y
_atom_site_fract_z
Sr1 0.000 0.000 0.000
Tb1 0.000 0.163 0.500
Tb2 0.000 0.333 0.000
Tb3 0.000 0.500 0.500
S1 0.242 0.500 0.252
S2 0.243 0.329 0.743
```

---

No. 17
DFT (GGA-PBE) results for a relaxed structure of SrTb4TmS8.

Properties
- raw total energy (eV per cell) = -256.8
- ΔE_f (raw) (eV/atom) = -1.99

The structure in CIF format:
```
data_SrTb4TmS8
_chemical_formula_sum 'Sr3 Tb12 Tm3 S24'
_cell_length_a 8.1835
_cell_length_b 8.1835
_cell_length_c 19.9227
_cell_angle_alpha 90.00
_cell_angle_beta 90.00
_cell_angle_gamma 120.00
_symmetry_space_group_name_H-M 'R 3 m'
_symmetry_Int_Tables_number 160
_symmetry_space_group_name_Hall 'R 3 -2"'
loop_
_atom_site_label
_atom_site_fract_x
_atom_site_fract_y
_atom_site_fract_z
Sr1 0.0000 0.0000 0.0000
Tb1 0.0000 0.0000 0.2490
Tb2 0.1691 0.3383 0.4570
Tm1 0.0000 0.0000 0.6262
S1 0.0000 0.0000 0.3817
S2 0.0000 0.0000 0.8607
S3 0.0398 0.5199 0.3773
S4 0.1784 0.3568 0.2065
```

---

No. 18
DFT (GGA-PBE) results for a relaxed structure of SrTb2TmS4.

Properties
- raw total energy (eV per cell) = -47.7
- ΔE_f (raw) (eV/atom) = -1.98

The structure in CIF format:
```
data_SrTb2TmS4
_chemical_formula_sum 'Sr1 Tb2 Tm1 S4'
_cell_length_a 6.900
_cell_length_b 3.956
_cell_length_c 6.904
_cell_angle_alpha 90.00
_cell_angle_beta 109.06
_cell_angle_gamma 90.00
_symmetry_space_group_name_H-M 'P 1 2/m 1'
_symmetry_Int_Tables_number 10
loop_
_symmetry_equiv_pos_as_xyz
'x,y,z'
'-x,-y,-z'
'-x,y,-z'
'x,-y,z'
loop_
_atom_site_label
_atom_site_fract_x
_atom_site_fract_y
_atom_site_fract_z
Sr1 0.000 0.000 0.000
Tb1 0.000 0.500 0.500
Tb2 0.500 0.000 0.500
Tm1 0.500 0.500 0.000
S1 0.261 0.000 0.751
S2 0.264 0.500 0.258
```